(1)
SmY2MgN | GGA-PBE | relaxed

The value obtained for the formation energy (no corrections) is -0.693 eV per atom. The magnetization is 0.000 μB per cell.

The structure belongs to space group P4/mmm (No. 123); the cell edges are 4.8714, 4.8714 and 5.0375 Å and the angles 90.00°, 90.00° and 90.00°. Symmetry generates all atoms from Sm at (0.0000, 0.0000, 0.0000), Y at (0.0000, 0.5000, 0.5000), Mg at (0.5000, 0.5000, 0.0000) and N at (0.0000, 0.0000, 0.5000).

---

(2)
YBeTeN2 | GGA-PBE | relaxed

The value obtained for the formation energy (no corrections) is 1.116 eV per atom. The magnetization is 0.000 μB per cell.

The structure belongs to space group P4/mmm (No. 123); the cell edges are 4.1743, 4.1743 and 6.5466 Å and the angles 90.00°, 90.00° and 90.00°. Symmetry generates all atoms from Y at (0.0000, 0.0000, 0.0000), Be at (0.5000, 0.5000, 0.5000), Te at (0.0000, 0.0000, 0.5000) and N at (0.0000, 0.5000, 0.0000).

---

What is the formula in the first record?
SmY2MgN